The following is a PBE-GGA calculation of a relaxed structure of BaGaPF, from Alexandria via LeMat-Bulk.

Output
Energy relative to the elements, uncorrected in meV/atom: -1772
E in eV/atom: -4.829

Cell lengths 4.5673, 4.5673, 8.5141 Å; angles 90.00, 90.00, 90.00 degrees
Space group P4/nmm (No. 129, origin choice 2)
Symmetry-distinct sites (fractional):
Ba: 0.2500 0.2500 0.1697 x2
Ga: 0.2500 0.7500 0.5000 x2
P: 0.2500 0.2500 0.6296 x2
F: 0.2500 0.7500 0.0000 x2

---

The following is a PBE-GGA calculation of a relaxed structure of Ba2GaPbF, from Alexandria via LeMat-Bulk.

Output
Energy relative to the elements, uncorrected in meV/atom: -494
E in eV/atom: -2.984

Cell lengths 6.7941, 6.7941, 4.7223 Å; angles 90.00, 90.00, 90.00 degrees
Space group P4/mmm (No. 123)
Symmetry-distinct sites (fractional):
Ba: 0.0000 0.5000 0.0000 x2
Ga: 0.0000 0.0000 0.5000 x1
Pb: 0.5000 0.5000 0.0000 x1
F: 0.5000 0.5000 0.5000 x1

---

The following is a PBE-GGA calculation of a relaxed structure of BaGaPdF6, from Alexandria via LeMat-Bulk.

Output
Energy relative to the elements, uncorrected in meV/atom: -2543
E in eV/atom: -4.917

Cell lengths 5.2820, 5.5726, 5.8548 Å; angles 116.48, 91.72, 91.26 degrees
Space group P1 (No. 1)
Symmetry-distinct sites (fractional):
Ba: 0.0000 0.0000 0.0000 x1
Ga: 0.4682 0.6512 0.3353 x1
Pd: 0.5000 0.3391 0.6956 x1
F: 0.1960 0.6199 0.1004 x1
F: 0.2839 0.3700 0.3831 x1
F: 0.2947 0.9301 0.6133 x1
F: 0.6441 0.3562 0.0633 x1
F: 0.6540 0.8958 0.2593 x1
F: 0.7114 0.6585 0.5934 x1

---

The following is a PBE-GGA calculation of a relaxed structure of BaGaPt2F, from Alexandria via LeMat-Bulk.

Output
Energy relative to the elements, uncorrected in meV/atom: -703
E in eV/atom: -4.484

Cell lengths 4.5638, 4.5638, 6.6976 Å; angles 90.00, 90.00, 90.00 degrees
Space group P4/mmm (No. 123)
Symmetry-distinct sites (fractional):
Ba: 0.0000 0.0000 0.0000 x1
Ga: 0.0000 0.0000 0.5000 x1
Pt: 0.0000 0.5000 0.5000 x2
F: 0.5000 0.5000 0.0000 x1

---

The following is a PBE-GGA calculation of a relaxed structure of RbBaGa2F8, from Alexandria via LeMat-Bulk.

Output
Energy relative to the elements, uncorrected in meV/atom: -2738
E in eV/atom: -4.731

Cell lengths 5.9279, 5.9279, 8.8579 Å; angles 90.00, 90.00, 120.00 degrees
Space group P-3 (No. 147)
Symmetry-distinct sites (fractional):
Rb: 0.0000 0.0000 0.0000 x1
Ba: 0.0000 0.0000 0.5000 x1
Ga: 0.3333 0.6667 0.7949 x2
F: 0.0928 0.3472 0.7095 x6
F: 0.3333 0.6667 0.0012 x2

---

The following is a PBE-GGA calculation of a relaxed structure of RbBa2GaF8, from Alexandria via LeMat-Bulk.

Output
Energy relative to the elements, uncorrected in meV/atom: -3243
E in eV/atom: -5.144

Cell lengths 4.6982, 8.3837, 5.6721 Å; angles 90.00, 99.54, 90.00 degrees
Space group P2/m (No. 10)
Symmetry-distinct sites (fractional):
Rb: 0.0000 0.0000 0.0000 x1
Ba: 0.5000 0.2605 0.5000 x2
Ga: 0.0000 0.5000 0.0000 x1
F: 0.0753 0.3278 0.7813 x4
F: 0.3736 0.5000 0.1923 x2
F: 0.4326 0.0000 0.7262 x2

---

The following is a PBE-GGA calculation of a relaxed structure of Rb2BaGaF8, from Alexandria via LeMat-Bulk.

Output
Energy relative to the elements, uncorrected in meV/atom: -2704
E in eV/atom: -4.525

Cell lengths 6.0370, 6.0370, 7.0580 Å; angles 90.00, 90.00, 120.00 degrees
Space group P-3m1 (No. 164)
Symmetry-distinct sites (fractional):
Rb: 0.3333 0.6667 0.3755 x2
Ba: 0.0000 0.0000 0.0000 x1
Ga: 0.0000 0.0000 0.5000 x1
F: 0.1453 0.2906 0.6673 x6
F: 0.3333 0.6667 0.0055 x2

---

The following is a PBE-GGA calculation of a relaxed structure of RbBaGaF6, from Alexandria via LeMat-Bulk.

Output
Energy relative to the elements, uncorrected in meV/atom: -3100
E in eV/atom: -5.005

Cell lengths 6.4240, 6.4240, 9.5608 Å; angles 90.00, 90.00, 120.00 degrees
Space group P-31c (No. 163)
Symmetry-distinct sites (fractional):
Rb: 0.0000 0.0000 0.0000 x2
Ba: 0.3333 0.6667 0.2500 x2
Ga: 0.3333 0.6667 0.7500 x2
F: 0.0797 0.4186 0.6380 x12

---

The following is a PBE-GGA calculation of a relaxed structure of BaGaReF2, from Alexandria via LeMat-Bulk.

Output
Energy relative to the elements, uncorrected in meV/atom: -21
E in eV/atom: -4.249

Cell lengths 4.5069, 4.5069, 6.7192 Å; angles 90.00, 90.00, 90.00 degrees
Space group P4/mmm (No. 123)
Symmetry-distinct sites (fractional):
Ba: 0.0000 0.0000 0.0000 x1
Ga: 0.0000 0.0000 0.5000 x1
Re: 0.5000 0.5000 0.0000 x1
F: 0.0000 0.5000 0.5000 x2

---

The following is a PBE-GGA calculation of a relaxed structure of BaGaSbF2, from Alexandria via LeMat-Bulk.

Output
Energy relative to the elements, uncorrected in meV/atom: -1564
E in eV/atom: -4.127

Cell lengths 4.7876, 4.7876, 8.8033 Å; angles 90.00, 90.00, 90.00 degrees
Space group P4/mmm (No. 123)
Symmetry-distinct sites (fractional):
Ba: 0.0000 0.0000 0.0000 x1
Ga: 0.0000 0.0000 0.5000 x1
Sb: 0.5000 0.5000 0.5000 x1
F: 0.0000 0.5000 0.0000 x2

---

The following is a PBE-GGA calculation of a relaxed structure of BaGaSi2F, from Alexandria via LeMat-Bulk.

Output
Energy relative to the elements, uncorrected in meV/atom: -184
E in eV/atom: -3.718

Cell lengths 4.7676, 4.7676, 4.9238 Å; angles 90.00, 90.00, 90.00 degrees
Space group P4/mmm (No. 123)
Symmetry-distinct sites (fractional):
Ba: 0.0000 0.0000 0.0000 x1
Ga: 0.5000 0.5000 0.0000 x1
Si: 0.0000 0.5000 0.5000 x2
F: 0.5000 0.5000 0.5000 x1

---

The following is a PBE-GGA calculation of a relaxed structure of BaGaSn2F8, from Alexandria via LeMat-Bulk.

Output
Energy relative to the elements, uncorrected in meV/atom: -2555
E in eV/atom: -4.883

Cell lengths 4.5829, 6.1308, 7.7341 Å; angles 85.84, 85.73, 89.78 degrees
Space group P-1 (No. 2)
Symmetry-distinct sites (fractional):
Ba: 0.0000 0.0000 0.0000 x1
Ga: 0.0000 0.0000 0.5000 x1
Sn: 0.4980 0.4551 0.2544 x2
F: 0.2073 0.8698 0.3140 x2
F: 0.2096 0.8469 0.6853 x2
F: 0.2628 0.2545 0.4797 x2
F: 0.4768 0.2415 0.0352 x2